Below is a relaxed structure of MgNiH6, with properties calculated at the GGA-PBE level.

Lattice parameters (Å, degrees): 4.1358 4.1358 10.8299 90.00 90.00 120.00
Space group R-3 (No. 148, hexagonal axes)
Unique sites:
Mg1 0.0000 0.0000 0.0000
Ni1 0.0000 0.0000 0.5000
H1 0.0095 0.5611 0.9089

Results
**Calculated total energy**: -3.3366 eV/atom
**Total moment**: 0.00 μB per formula unit


Below is a relaxed structure of Hf3BeC, with properties calculated at the GGA-PBE level.

Lattice parameters (Å, degrees): 4.414 4.414 4.414 90.00 90.00 90.00
Space group Pm-3m (No. 221)
Unique sites:
Hf1 0.000 0.000 0.500
Be1 0.500 0.500 0.500
C1 0.000 0.000 0.000

Results
**Calculated total energy**: -8.7945 eV/atom
**Total moment**: 0.00 μB per formula unit


Below is a relaxed structure of TbAlB, with properties calculated at the GGA-PBE level.

Lattice parameters (Å, degrees): 6.028 6.028 6.028 90.00 90.00 90.00
Space group F-43m (No. 216)
Unique sites:
Tb1 0.000 0.000 0.000
Al1 0.250 0.250 0.750
B1 0.000 0.000 0.500

Results
**Calculated total energy**: -4.3698 eV/atom
**Total moment**: 0.00 μB per formula unit